No. 1
DFT (PBEsol) results for an optimized crystal structure of ZnRuAu2.

Unit cell a=2.6974 b=3.9569 c=5.6828 alpha=90.00 beta=90.00 gamma=90.00
Fractional positions:
Zn (0.0000, 0.0000, 0.0000)
Ru (0.0000, 0.0000, 0.5000)
Au (0.5000, 0.5000, 0.2485)
Au (0.5000, 0.5000, 0.7515)

Summary:
- Energy of formation from the pure elements: 0.18 eV/atom
- Uncorrected energy: -4.72 eV/atom
- SG: No. 47

No. 2
DFT (PBEsol) results for an optimized crystal structure of ZnRuAu2.

Unit cell a=4.1445 b=5.6700 c=5.6700 alpha=27.34 beta=90.00 gamma=90.00
Fractional positions:
Zn (0.0000, 0.0000, 0.0000)
Ru (0.5000, 0.5953, 0.5953)
Au (0.0000, 0.2321, 0.2321)
Au (0.5000, 0.8624, 0.8624)

Summary:
- Energy of formation from the pure elements: 0.16 eV/atom
- Uncorrected energy: -4.74 eV/atom
- SG: No. 38

No. 3
DFT (PBEsol) results for an optimized crystal structure of ZnRuAu3.

Unit cell a=4.6125 b=4.6125 c=4.6125 alpha=90.00 beta=90.00 gamma=90.00
Fractional positions:
Zn (0.0000, 0.0000, 0.0000)
Ru (0.5000, 0.5000, 0.5000)
Au (0.0000, 0.0000, 0.5000)
Au (0.0000, 0.5000, 0.0000)
Au (0.5000, 0.0000, 0.0000)

Summary:
- Energy of formation from the pure elements: 1.17 eV/atom
- Uncorrected energy: -3.54 eV/atom
- SG: No. 221

No. 4
DFT (PBEsol) results for an optimized crystal structure of Zn2RuAu.

Unit cell a=3.0991 b=3.0991 c=5.8719 alpha=90.00 beta=90.00 gamma=90.00
Fractional positions:
Zn (0.0000, 0.0000, 0.2320)
Zn (0.0000, 0.0000, 0.7680)
Ru (0.5000, 0.5000, 0.0000)
Au (0.5000, 0.5000, 0.5000)

Summary:
- Energy of formation from the pure elements: -0.08 eV/atom
- Uncorrected energy: -4.39 eV/atom
- SG: No. 123

So what do the calculations give for calculated volume? Going down the list: 15.2, 15.3, 19.6, 14.1 Å³ per atom.